# 1
# ZrZn3As

A relaxed ZrZn3As crystal (PBE, Alexandria via LeMat-Bulk).

abc: 5.1621 5.1621 5.1621
angles: 90.00 90.00 90.00
Closest atoms and distances in Å follow each position.
Positions (direct):
Zr 0.0000 0.0000 0.0000  6 Zn 2.58
Zn 0.0000 0.0000 0.5000  2 Zr 2.58
Zn 0.0000 0.5000 0.0000  2 Zr 2.58
Zn 0.5000 0.0000 0.0000  2 Zr 2.58
As 0.5000 0.5000 0.5000  12 Zn 3.65

**Symmetry**: No. 221
**Excess energy over the best structure of this formula in the dataset**: 0.506 eV/atom



# 2
# SrCa2Re

A relaxed SrCa2Re crystal (PBE, Alexandria via LeMat-Bulk).

abc: 5.4501 5.4501 5.4501
angles: 60.00 60.00 60.00
Closest atoms and distances in Å follow each position.
Positions (direct):
Sr 0.0000 0.0000 0.0000  4 Re 3.34, 4 Ca 3.34
Ca 0.2500 0.2500 0.2500  4 Ca 3.34, 4 Sr 3.34
Ca 0.5000 0.5000 0.5000  4 Re 3.34, 4 Ca 3.34
Re 0.7500 0.7500 0.7500  4 Ca 3.34, 4 Sr 3.34

**Symmetry**: No. 216
**Excess energy over the best structure of this formula in the dataset**: 0.152 eV/atom



# 3
# As3Ru

A relaxed As3Ru crystal (PBE, Alexandria via LeMat-Bulk).

abc: 4.6237 4.6237 3.1445
angles: 90.00 90.00 90.00
Closest atoms and distances in Å follow each position.
Positions (direct):
As 0.0000 0.0000 0.0000  8 As 2.80
As 0.0000 0.5000 0.5000  4 As 2.80, 4 Ru 2.80
As 0.5000 0.0000 0.5000  4 As 2.80, 4 Ru 2.80
Ru 0.5000 0.5000 0.0000  8 As 2.80

**Symmetry**: No. 123
**Excess energy over the best structure of this formula in the dataset**: 0.455 eV/atom



# 4
# LiNiAs2

A relaxed LiNiAs2 crystal (PBE, Alexandria via LeMat-Bulk).

abc: 5.7782 5.7782 5.7782
angles: 101.25 101.25 127.57
Closest atoms and distances in Å follow each position.
Positions (direct):
Li 0.0000 0.0000 0.0000  2 Ni 2.55
Li 0.7500 0.2500 0.5000  2 Ni 2.55
Ni 0.2500 0.7500 0.5000  4 As 2.34, 2 Li 2.55
Ni 0.5000 0.5000 0.0000  4 As 2.34, 2 Li 2.55
As 0.1970 0.6250 0.0720  2 Ni 2.34
As 0.3750 0.4470 0.5720  2 Ni 2.34
As 0.5530 0.1250 0.9280  2 Ni 2.34
As 0.8750 0.8030 0.4280  2 Ni 2.34

**Symmetry**: No. 122
**Excess energy over the best structure of this formula in the dataset**: 0.164 eV/atom



# 5
# AcPrPtN2

A relaxed AcPrPtN2 crystal (PBE, Alexandria via LeMat-Bulk).

abc: 5.6336 5.2159 6.9671
angles: 90.00 92.04 90.00
Closest atoms and distances in Å follow each position.
Positions (direct):
Ac 0.0000 0.0210 0.2500  4 N 2.63-2.67
Ac 0.0000 0.9790 0.7500  4 N 2.63-2.67
Pr 0.5000 0.4931 0.7500  4 N 2.54-2.56
Pr 0.5000 0.5069 0.2500  4 N 2.54-2.56
Pt 0.5000 0.0000 0.0000  2 N 2.10
Pt 0.5000 0.0000 0.5000  2 N 2.10
N 0.2361 0.2852 0.9970  1 Pt 2.10
N 0.2361 0.7148 0.4970  1 Pt 2.10
N 0.7639 0.2852 0.5030  1 Pt 2.10
N 0.7639 0.7148 0.0030  1 Pt 2.10

**Uncorrected formation energy**: -0.83 eV per atom
**Symmetry**: No. 13



# 6
# BaIr2W

A relaxed BaIr2W crystal (PBE, Alexandria via LeMat-Bulk).

abc: 5.1863 5.1863 2.9325
angles: 90.00 90.00 90.00
Closest atoms and distances in Å follow each position.
Positions (direct):
Ba 0.0000 0.0000 0.0000  2 Ba 2.93, 8 Ir 2.98
Ir 0.0000 0.5000 0.5000  2 Ir 2.93, 4 Ba 2.98, 4 W 2.98
Ir 0.5000 0.0000 0.5000  2 Ir 2.93, 4 Ba 2.98, 4 W 2.98
W 0.5000 0.5000 0.0000  2 W 2.93, 8 Ir 2.98

**Symmetry**: No. 123
**Excess energy over the best structure of this formula in the dataset**: 0.775 eV/atom



# 7
# CsYGa2Br

A relaxed CsYGa2Br crystal (PBE, Alexandria via LeMat-Bulk).

abc: 5.9543 5.9543 6.1498
angles: 90.00 90.00 90.00
Closest atoms and distances in Å follow each position.
Positions (direct):
Cs 0.0000 0.0000 0.0000  4 Ga 2.98, 2 Br 3.07
Y 0.5000 0.5000 0.5000  4 Br 4.21, 8 Ga 4.28
Ga 0.0000 0.5000 0.0000  2 Cs 2.98
Ga 0.5000 0.0000 0.0000  2 Cs 2.98
Br 0.0000 0.0000 0.5000  2 Cs 3.07

**Uncorrected formation energy**: 0.74 eV per atom
**Symmetry**: No. 123



# 8
# MnSeS

A relaxed MnSeS crystal (PBE, Alexandria via LeMat-Bulk).

abc: 3.3629 4.8700 5.7415
angles: 90.00 90.00 90.00
Closest atoms and distances in Å follow each position.
Positions (direct):
Mn 0.0000 0.2330 0.0000  3 S 2.27-2.30, 3 Se 2.37-2.39
Mn 0.5000 0.7670 0.5000  3 S 2.27-2.30, 3 Se 2.37-2.39
Se 0.0000 0.4535 0.3680  3 Mn 2.37-2.39, 1 S 2.53
Se 0.5000 0.5465 0.8680  3 Mn 2.37-2.39, 1 S 2.53
S 0.0000 0.0441 0.6393  3 Mn 2.27-2.30, 1 Se 2.53
S 0.5000 0.9559 0.1393  3 Mn 2.27-2.30, 1 Se 2.53

**Uncorrected formation energy**: -0.42 eV per atom
**Symmetry**: No. 31
**Excess energy over the best structure of this formula in the dataset**: 0.090 eV/atom



# 9
# Tm5RuRh2

A relaxed Tm5RuRh2 crystal (PBE, Alexandria via LeMat-Bulk).

abc: 7.3780 11.7552 4.2092
angles: 90.00 90.00 90.00
Closest atoms and distances in Å follow each position.
Positions (direct):
Tm 0.0000 0.0000 0.0000  4 Rh 2.90
Tm 0.1629 0.2953 0.0000  1 Ru 2.69, 2 Rh 3.00
Tm 0.1765 0.5909 0.5000  2 Ru 2.70, 2 Rh 2.85-3.01
Tm 0.3235 0.0909 0.5000  2 Ru 2.70, 2 Rh 2.85-3.01
Tm 0.3371 0.7953 0.0000  1 Ru 2.69, 2 Rh 3.00
Tm 0.5000 0.5000 0.0000  4 Rh 2.90
Tm 0.6629 0.2047 0.0000  1 Ru 2.69, 2 Rh 3.00
Tm 0.6765 0.9091 0.5000  2 Ru 2.70, 2 Rh 2.85-3.01
Tm 0.8235 0.4091 0.5000  2 Ru 2.70, 2 Rh 2.85-3.01
Tm 0.8371 0.7047 0.0000  1 Ru 2.69, 2 Rh 3.00
Ru 0.0000 0.5000 0.0000  6 Tm 2.69-2.70
Ru 0.5000 0.0000 0.0000  6 Tm 2.69-2.70
Rh 0.0429 0.8326 0.5000  8 Tm 2.85-3.06
Rh 0.4571 0.3326 0.5000  8 Tm 2.85-3.06
Rh 0.5429 0.6674 0.5000  8 Tm 2.85-3.06
Rh 0.9571 0.1674 0.5000  8 Tm 2.85-3.06

**Symmetry**: No. 55



# 10
# B5C7

A relaxed B5C7 crystal (PBE, Alexandria via LeMat-Bulk).

abc: 4.7280 4.7280 7.7772
angles: 116.41 116.41 30.63
Closest atoms and distances in Å follow each position.
Positions (direct):
B 0.0000 0.0000 0.0000  4 C 1.66-1.68
B 0.0113 0.0113 0.5093  1 C 1.55
B 0.3397 0.3397 0.1605  2 C 1.57-1.72
B 0.4778 0.4778 0.6485  2 C 1.59-1.78, 2 B 1.77
B 0.8083 0.8083 0.3041  1 C 1.57
C 0.1580 0.1580 0.9484  2 C 1.50, 1 B 1.66
C 0.1614 0.1614 0.4670  3 C 1.54-1.62, 1 B 1.55
C 0.3176 0.3176 0.6808  3 C 1.53-1.62, 1 B 1.59
C 0.5047 0.5047 0.1444  1 C 1.56, 3 B 1.57-1.67
C 0.6574 0.6574 0.3488  3 C 1.54-1.56, 1 B 1.57
C 0.6769 0.6769 0.8531  3 C 1.50-1.55
C 0.8190 0.8190 0.7963  3 C 1.53-1.55, 1 B 1.68

**Symmetry**: No. 8
**Excess energy over the best structure of this formula in the dataset**: 0.134 eV/atom



# 11
# Sm2GaTe

A relaxed Sm2GaTe crystal (PBE, Alexandria via LeMat-Bulk).

abc: 12.1031 12.1031 4.2507
angles: 90.00 90.00 158.66
Closest atoms and distances in Å follow each position.
Positions (direct):
Sm 0.0619 0.9381 0.7500  1 Te 3.14, 6 Ga 3.14-3.26
Sm 0.3312 0.6688 0.7500  1 Ga 3.12, 5 Te 3.15-3.27
Sm 0.6688 0.3312 0.2500  1 Ga 3.12, 5 Te 3.15-3.27
Sm 0.9381 0.0619 0.2500  1 Te 3.14, 6 Ga 3.14-3.26
Ga 0.4625 0.5375 0.7500  2 Ga 2.78
Ga 0.5375 0.4625 0.2500  2 Ga 2.78
Te 0.1939 0.8061 0.7500  6 Sm 3.14-3.27
Te 0.8061 0.1939 0.2500  6 Sm 3.14-3.27

**Uncorrected formation energy**: -1.03 eV per atom
**Symmetry**: No. 63
**Excess energy over the best structure of this formula in the dataset**: 0.000 eV/atom



Number 1: E -2.3069 eV/atom. Number 2: E -3.7012 eV/atom. Number 3: E -5.3756 eV/atom. Number 4: E -4.4207 eV/atom. Number 5: E -7.1424 eV/atom. Number 6: E -7.3012 eV/atom. Number 7: E -2.2682 eV/atom. Number 8: E -6.0118 eV/atom. Number 9: E -6.4264 eV/atom. Number 10: E -7.7714 eV/atom. Number 11: E -4.9327 eV/atom.